No. 1
Below is a geometry-optimized Al3Ag5 structure, with properties calculated at the PBE-GGA level.

Summary:
symmetry = Cm, No. 8
calculated formation energy = -0.05 eV/atom
energy relative to the lowest polymorph listed for this composition = 4 meV/atom
final energy = -3.232 eV per atom

a = 4.984 Å, b = 6.437 Å, c = 4.984 Å
α = 105.84°, β = 106.23°, γ = 105.84°
Atoms (fractional coordinates):
Ag  0.986  0.971  0.986
Ag  0.631  0.260  0.130
Ag  0.255  0.510  0.255
Ag  0.501  0.002  0.501
Ag  0.130  0.260  0.631
Al  0.878  0.756  0.378
Al  0.741  0.484  0.741
Al  0.378  0.756  0.878

No. 2
Below is a geometry-optimized Al2Ag3 structure, with properties calculated at the PBE-GGA level.

Summary:
symmetry = Fdd2, No. 43
calculated formation energy = -0.01 eV/atom
energy relative to the lowest polymorph listed for this composition = 31 meV/atom
final energy = -3.221 eV per atom

a = 8.414 Å, b = 7.074 Å, c = 5.778 Å
α = 81.11°, β = 56.17°, γ = 42.72°
Atoms (fractional coordinates):
Ag  0.757  0.451  0.367
Ag  0.425  0.367  0.451
Ag  0.799  0.493  0.825
Ag  0.883  0.825  0.493
Ag  0.089  0.911  0.911
Ag  0.339  0.161  0.161
Al  0.198  0.900  0.372
Al  0.530  0.372  0.900
Al  0.350  0.052  0.720
Al  0.878  0.720  0.052

No. 3
Below is a geometry-optimized Al3Ag2 structure, with properties calculated at the PBE-GGA level.

Summary:
symmetry = R-3m, No. 166
calculated formation energy = -0.03 eV/atom
energy relative to the lowest polymorph listed for this composition = 0 meV/atom
final energy = -3.416 eV per atom

a = 10.994 Å, b = 10.994 Å, c = 10.994 Å
α = 15.73°, β = 15.73°, γ = 15.73°
Atoms (fractional coordinates):
Al  0.000  0.000  0.000
Al  0.200  0.200  0.200
Al  0.800  0.800  0.800
Ag  0.600  0.600  0.600
Ag  0.400  0.400  0.400

No. 4
Below is a geometry-optimized AlAg structure, with properties calculated at the PBE-GGA level.

Summary:
symmetry = R-3m, No. 166
calculated formation energy = 0.04 eV/atom
final energy = -3.261 eV per atom

a = 2.927 Å, b = 2.927 Å, c = 9.626 Å
α = 81.26°, β = 81.26°, γ = 60.00°
Atoms (fractional coordinates):
Al  0.794  0.794  0.619
Al  0.206  0.206  0.381
Ag  0.049  0.049  0.852
Ag  0.951  0.951  0.148

No. 5
Below is a geometry-optimized Al17Ag12 structure, with properties calculated at the PBE-GGA level.

Summary:
symmetry = I-43m, No. 217
calculated formation energy = 0.04 eV/atom
final energy = -3.334 eV per atom

a = 8.705 Å, b = 8.705 Å, c = 8.705 Å
α = 109.47°, β = 109.47°, γ = 109.47°
Atoms (fractional coordinates):
Ag  0.198  0.802  0.198
Ag  0.397  0.198  0.397
Ag  0.802  0.000  0.603
Ag  0.603  0.000  0.802
Ag  0.802  0.603  0.000
Ag  0.603  0.802  0.000
Ag  0.397  0.397  0.198
Ag  0.198  0.198  0.802
Ag  0.000  0.603  0.802
Ag  0.000  0.802  0.603
Ag  0.802  0.198  0.198
Ag  0.198  0.397  0.397
Al  0.691  0.270  0.691
Al  0.422  0.730  0.422
Al  0.309  0.000  0.578
Al  0.578  0.000  0.309
Al  0.309  0.578  0.000
Al  0.578  0.309  0.000
Al  0.422  0.422  0.730
Al  0.691  0.691  0.270
Al  0.000  0.578  0.309
Al  0.000  0.309  0.578
Al  0.270  0.691  0.691
Al  0.730  0.422  0.422
Al  0.000  0.332  0.000
Al  0.668  0.668  0.668
Al  0.000  0.000  0.332
Al  0.332  0.000  0.000
Al  0.000  0.000  0.000

No. 6
Below is a geometry-optimized AlAg2 structure, with properties calculated at the PBE-GGA level.

Summary:
symmetry = I4/mcm, No. 140
calculated formation energy = 0.02 eV/atom
final energy = -3.126 eV per atom

a = 5.214 Å, b = 5.214 Å, c = 5.214 Å
α = 104.89°, β = 104.89°, γ = 119.08°
Atoms (fractional coordinates):
Ag  0.337  0.163  0.500
Ag  0.663  0.837  0.500
Ag  0.163  0.663  0.825
Ag  0.837  0.337  0.175
Al  0.750  0.750  0.000
Al  0.250  0.250  0.000